1.
Compound: Hf2HgB
Source: Alexandria via LeMat-Bulk
Functional: PBE
Structure: relaxed

Calculated values
* ΔE_f: 0.3970 eV/atom
* energy above the lowest structure with this stoichiometry: 791 meV per atom
* symmetry: Fm-3m, No. 225
* VASP energy: -6.32 eV/atom

a b c (Å): 4.6520 4.6520 4.6520
angles (deg): 60.00 60.00 60.00
Last column: nearest neighbours and their distance in Å.
Fractional positions:
1 Hf 0.2500 0.2500 0.2500  4 Hg 2.85, 4 B 2.85
2 Hf 0.7500 0.7500 0.7500  4 Hg 2.85, 4 B 2.85
3 Hg 0.5000 0.5000 0.5000  8 Hf 2.85
4 B 0.0000 0.0000 0.0000  8 Hf 2.85

=====

2.
Compound: HfHg3B
Source: Alexandria via LeMat-Bulk
Functional: PBE
Structure: relaxed

Calculated values
* ΔE_f: 0.8146 eV/atom
* energy above the lowest structure with this stoichiometry: 0 meV per atom
* symmetry: Pm-3m, No. 221
* VASP energy: -2.69 eV/atom

a b c (Å): 4.6342 4.6342 4.6342
angles (deg): 90.00 90.00 90.00
Last column: nearest neighbours and their distance in Å.
Fractional positions:
1 Hg 0.0000 0.5000 0.0000  2 B 2.32
2 Hg 0.0000 0.0000 0.5000  2 B 2.32
3 Hg 0.5000 0.0000 0.0000  2 B 2.32
4 B 0.0000 0.0000 0.0000  6 Hg 2.32
5 Hf 0.5000 0.5000 0.5000  12 Hg 3.28

=====

3.
Compound: Hf2HgB
Source: Alexandria via LeMat-Bulk
Functional: PBE
Structure: relaxed

Calculated values
* ΔE_f: -0.3936 eV/atom
* energy above the lowest structure with this stoichiometry: 0 meV per atom
* symmetry: R-3m, No. 166
* VASP energy: -7.12 eV/atom

a b c (Å): 3.4044 3.4044 7.6900
angles (deg): 77.21 77.21 60.00
Last column: nearest neighbours and their distance in Å.
Fractional positions:
1 B 0.0000 0.0000 0.0000  6 Hf 2.35
2 Hf 0.7246 0.7246 0.8263  3 B 2.35
3 Hf 0.2754 0.2754 0.1737  3 B 2.35
4 Hg 0.5000 0.5000 0.5000  6 Hf 3.12, 6 Hg 3.40

=====

4.
Compound: HfHgB2
Source: Alexandria via LeMat-Bulk
Functional: PBE
Structure: relaxed

Calculated values
* ΔE_f: 0.9133 eV/atom
* symmetry: I-42d, No. 122
* VASP energy: -4.99 eV/atom

a b c (Å): 4.2685 4.2685 7.6888
angles (deg): 73.88 73.88 90.00
Last column: nearest neighbours and their distance in Å.
Fractional positions:
1 B 0.0594 0.6250 0.2500  2 Hg 2.21, 2 Hf 2.47
2 B 0.6906 0.1250 0.2500  2 Hg 2.21, 2 Hf 2.47
3 B 0.3750 0.3094 0.7500  2 Hg 2.21, 2 Hf 2.47
4 B 0.8750 0.9406 0.7500  2 Hg 2.21, 2 Hf 2.47
5 Hf 0.2500 0.7500 0.5000  4 B 2.47
6 Hf 0.5000 0.5000 0.0000  4 B 2.47
7 Hg 0.7500 0.2500 0.5000  4 B 2.21
8 Hg 0.0000 0.0000 0.0000  4 B 2.21

=====

5.
Compound: Hf5Hg2B2
Source: Alexandria via LeMat-Bulk
Functional: PBE
Structure: relaxed

Calculated values
* ΔE_f: -0.2678 eV/atom
* symmetry: Cmce, No. 64
* VASP energy: -7.35 eV/atom

a b c (Å): 6.5141 6.5594 8.2425
angles (deg): 90.00 66.72 90.00
Last column: nearest neighbours and their distance in Å.
Fractional positions:
1 Hg 0.7710 0.0000 0.4580  6 Hf 2.98-3.04, 2 Hg 3.32
2 Hg 0.2290 0.0000 0.5420  6 Hf 2.98-3.04, 2 Hg 3.32
3 Hg 0.2710 0.5000 0.4580  6 Hf 2.98-3.04, 2 Hg 3.32
4 Hg 0.7290 0.5000 0.5420  6 Hf 2.98-3.04, 2 Hg 3.32
5 Hf 0.0753 0.6787 0.2160  3 B 2.52-2.58
6 Hf 0.5000 0.5000 0.0000  4 B 2.68, 8 Hf 2.88-2.92
7 Hf 0.7913 0.8213 0.7840  3 B 2.52-2.58
8 Hf 0.5753 0.8213 0.2160  3 B 2.52-2.58
9 Hf 0.2087 0.1787 0.2160  3 B 2.52-2.58
10 Hf 0.4247 0.1787 0.7840  3 B 2.52-2.58
11 Hf 0.2913 0.6787 0.7840  3 B 2.52-2.58
12 Hf 0.0000 0.0000 0.0000  4 B 2.68, 8 Hf 2.88-2.92
13 Hf 0.7087 0.3213 0.2160  3 B 2.52-2.58
14 Hf 0.9247 0.3213 0.7840  3 B 2.52-2.58
15 B 0.1022 0.3958 0.0000  1 B 1.91
16 B 0.8978 0.6042 0.0000  1 B 1.91
17 B 0.6022 0.1042 0.0000  1 B 1.91
18 B 0.3978 0.8958 0.0000  1 B 1.91

=====

6.
Compound: HfHg3B
Source: Alexandria via LeMat-Bulk
Functional: PBE
Structure: relaxed

Calculated values
* ΔE_f: 1.5673 eV/atom
* energy above the lowest structure with this stoichiometry: 753 meV per atom
* symmetry: Pm-3m, No. 221
* VASP energy: -1.94 eV/atom

a b c (Å): 5.5740 5.5740 5.5740
angles (deg): 90.00 90.00 90.00
Last column: nearest neighbours and their distance in Å.
Fractional positions:
1 Hg 0.0000 0.5000 0.0000  2 Hf 2.79
2 Hg 0.0000 0.0000 0.5000  2 Hf 2.79
3 Hg 0.5000 0.0000 0.0000  2 Hf 2.79
4 Hf 0.0000 0.0000 0.0000  6 Hg 2.79
5 B 0.5000 0.5000 0.5000  12 Hg 3.94

=====

What is the ΔE_f in the fourth record? 0.9133 eV/atom